1.
NaLiTcIr: optimized geometry, PBE-GGA.

Structure (CIF):
```
data_NaLiTcIr
_chemical_formula_sum 'Na1 Li1 Tc1 Ir1'
_cell_length_a 4.361
_cell_length_b 4.361
_cell_length_c 4.361
_cell_angle_alpha 60.00
_cell_angle_beta 60.00
_cell_angle_gamma 60.00
_space_group_name_H-M_alt 'P 1'
_space_group_IT_number 1
loop_
_space_group_symop_operation_xyz
'x,y,z'
loop_
_atom_site_label
_atom_site_type_symbol
_atom_site_fract_x
_atom_site_fract_y
_atom_site_fract_z
Ir1 Ir 0.000 0.000 0.000
Li1 Li 0.500 0.500 0.500
Na1 Na 0.750 0.750 0.750
Tc1 Tc 0.250 0.250 0.250
```


2.
LiAgIrSeS2: optimized geometry, PBE-GGA.

Structure (CIF):
```
data_LiAgIrSeS2
_chemical_formula_sum 'Li2 Ag2 Ir2 Se2 S4'
_cell_length_a 7.055
_cell_length_b 7.055
_cell_length_c 9.712
_cell_angle_alpha 90.00
_cell_angle_beta 90.00
_cell_angle_gamma 151.37
_space_group_name_H-M_alt 'P 1'
_space_group_IT_number 1
loop_
_space_group_symop_operation_xyz
'x,y,z'
loop_
_atom_site_label
_atom_site_type_symbol
_atom_site_fract_x
_atom_site_fract_y
_atom_site_fract_z
Ag1 Ag 0.856 0.144 0.250
Ag2 Ag 0.144 0.856 0.750
Ir1 Ir 0.500 0.500 0.000
Ir2 Ir 0.500 0.500 0.500
Li1 Li 0.193 0.807 0.250
Li2 Li 0.807 0.193 0.750
S1 S 0.879 0.121 0.009
S2 S 0.879 0.121 0.491
S3 S 0.121 0.879 0.509
S4 S 0.121 0.879 0.991
Se1 Se 0.552 0.448 0.250
Se2 Se 0.448 0.552 0.750
```


3.
GaReNi2: optimized geometry, PBE-GGA.

Structure (CIF):
```
data_GaReNi2
_chemical_formula_sum 'Ga1 Re1 Ni2'
_cell_length_a 4.159
_cell_length_b 4.159
_cell_length_c 4.159
_cell_angle_alpha 60.00
_cell_angle_beta 60.00
_cell_angle_gamma 60.00
_space_group_name_H-M_alt 'P 1'
_space_group_IT_number 1
loop_
_space_group_symop_operation_xyz
'x,y,z'
loop_
_atom_site_label
_atom_site_type_symbol
_atom_site_fract_x
_atom_site_fract_y
_atom_site_fract_z
Ga1 Ga 0.500 0.500 0.500
Ni1 Ni 0.000 0.000 0.000
Ni2 Ni 0.750 0.750 0.750
Re1 Re 0.250 0.250 0.250
```


4.
K2MgHgCl6: optimized geometry, PBE-GGA.

Structure (CIF):
```
data_K2MgHgCl6
_chemical_formula_sum 'K2 Mg1 Hg1 Cl6'
_cell_length_a 7.259
_cell_length_b 7.259
_cell_length_c 7.259
_cell_angle_alpha 60.00
_cell_angle_beta 60.00
_cell_angle_gamma 60.00
_space_group_name_H-M_alt 'P 1'
_space_group_IT_number 1
loop_
_space_group_symop_operation_xyz
'x,y,z'
loop_
_atom_site_label
_atom_site_type_symbol
_atom_site_fract_x
_atom_site_fract_y
_atom_site_fract_z
Cl1 Cl 0.742 0.258 0.258
Cl2 Cl 0.258 0.742 0.258
Cl3 Cl 0.742 0.742 0.258
Cl4 Cl 0.258 0.742 0.742
Cl5 Cl 0.258 0.258 0.742
Cl6 Cl 0.742 0.258 0.742
Hg1 Hg 0.000 0.000 0.000
K1 K 0.250 0.250 0.250
K2 K 0.750 0.750 0.750
Mg1 Mg 0.500 0.500 0.500
```


5.
Dy3Ag4Ge4: optimized geometry, PBE-GGA.

Structure (CIF):
```
data_Dy3Ag4Ge4
_chemical_formula_sum 'Dy3 Ag4 Ge4'
_cell_length_a 8.374
_cell_length_b 8.374
_cell_length_c 8.374
_cell_angle_alpha 149.96
_cell_angle_beta 129.67
_cell_angle_gamma 59.74
_space_group_name_H-M_alt 'P 1'
_space_group_IT_number 1
loop_
_space_group_symop_operation_xyz
'x,y,z'
loop_
_atom_site_label
_atom_site_type_symbol
_atom_site_fract_x
_atom_site_fract_y
_atom_site_fract_z
Ag1 Ag 0.971 0.669 0.302
Ag2 Ag 0.633 0.331 0.302
Ag3 Ag 0.029 0.331 0.698
Ag4 Ag 0.367 0.669 0.698
Dy1 Dy 0.000 0.000 0.000
Dy2 Dy 0.626 0.126 0.500
Dy3 Dy 0.374 0.874 0.500
Ge1 Ge 0.217 0.217 0.000
Ge2 Ge 0.783 0.783 0.000
Ge3 Ge 0.684 0.500 0.184
Ge4 Ge 0.316 0.500 0.816
```


6.
Si3Ir2W2: optimized geometry, PBE-GGA.

Structure (CIF):
```
data_Si3Ir2W2
_chemical_formula_sum 'Si3 Ir2 W2'
_cell_length_a 7.341
_cell_length_b 7.341
_cell_length_c 7.341
_cell_angle_alpha 33.05
_cell_angle_beta 33.05
_cell_angle_gamma 33.05
_space_group_name_H-M_alt 'P 1'
_space_group_IT_number 1
loop_
_space_group_symop_operation_xyz
'x,y,z'
loop_
_atom_site_label
_atom_site_type_symbol
_atom_site_fract_x
_atom_site_fract_y
_atom_site_fract_z
Ir1 Ir 0.258 0.258 0.258
Ir2 Ir 0.745 0.745 0.745
Si1 Si 0.381 0.381 0.381
Si2 Si 0.623 0.623 0.623
Si3 Si 0.864 0.864 0.864
W1 W 0.004 0.004 0.004
W2 W 0.500 0.500 0.500
```


| no. | energy (eV for the cell shown) | calculated volume (Å³ per atom) |
| --- | --- | --- |
| 1 | -20.929 | 14.66 |
| 2 | -54.200 | 19.30 |
| 3 | -26.202 | 12.72 |
| 4 | -29.839 | 27.04 |
| 5 | -49.356 | 20.41 |
| 6 | -60.139 | 14.96 |